1.
MgGa7Ni2: relaxed, PBE.

Output
The calculated formation energy is -0.09 eV per atom. As for the space group: Cmmm.

a = 6.710 Å, b = 6.710 Å, c = 4.538 Å
α = 90.00°, β = 90.00°, γ = 106.85°
Atoms (fractional coordinates):
Mg 0.000 0.000 0.000
Ga 0.080 0.327 0.500
Ga 0.294 0.706 0.000
Ga 0.327 0.080 0.500
Ga 0.500 0.500 0.500
Ga 0.673 0.920 0.500
Ga 0.706 0.294 0.000
Ga 0.920 0.673 0.500
Ni 0.287 0.713 0.500
Ni 0.713 0.287 0.500


2.
Cs2AsBr6F: relaxed, PBE.

Output
As for the space group: I4/mmm. As for the formation energy from raw total energies: -973.9 meV/atom.

a = 7.839 Å, b = 7.839 Å, c = 7.839 Å
α = 123.14°, β = 123.14°, γ = 84.64°
Atoms (fractional coordinates):
Cs 0.250 0.750 0.500
Cs 0.750 0.250 0.500
As 0.000 0.000 0.000
Br 0.222 0.222 0.000
Br 0.240 0.240 0.480
Br 0.240 0.760 0.000
Br 0.760 0.240 0.000
Br 0.760 0.760 0.520
Br 0.778 0.778 0.000
F 0.500 0.500 0.000


3.
PaMo6S8: relaxed, PBE.

Output
As for the space group: R-3. As for the formation energy from raw total energies: -850.7 meV/atom.

a = 6.471 Å, b = 6.471 Å, c = 6.471 Å
α = 88.83°, β = 88.83°, γ = 88.83°
Atoms (fractional coordinates):
Pa 0.000 0.000 0.000
Mo 0.222 0.421 0.562
Mo 0.421 0.562 0.222
Mo 0.438 0.778 0.579
Mo 0.562 0.222 0.421
Mo 0.579 0.438 0.778
Mo 0.778 0.579 0.438
S 0.128 0.758 0.366
S 0.239 0.239 0.239
S 0.242 0.634 0.872
S 0.366 0.128 0.758
S 0.634 0.872 0.242
S 0.758 0.366 0.128
S 0.761 0.761 0.761
S 0.872 0.242 0.634


What are the theoretical density values for these records? In order: 5348 4316 6519 kg/m3.
What are the spin magnetization values for these records? In order: 0.00 0.00 1.03 μB/cell.